Compound: K2AcTmO4
Source: Alexandria
Functional: PBE
Structure: optimized geometry

Cell lengths 6.345, 3.636, 6.650 Å; angles 90.00, 108.61, 90.00 degrees
Atoms (fractional coordinates):
K  0.000  0.000  0.000
K  0.500  0.500  0.000
Ac  0.000  0.500  0.500
Tm  0.500  0.000  0.500
O  0.257  0.000  0.690
O  0.289  0.500  0.314
O  0.711  0.500  0.686
O  0.743  0.000  0.310


Compound: K2Ac2UO6
Source: Alexandria
Functional: PBE
Structure: optimized geometry

Cell lengths 6.521, 6.521, 6.720 Å; angles 97.57, 97.57, 119.67 degrees
Atoms (fractional coordinates):
K  0.155  0.845  0.000
K  0.845  0.155  0.000
Ac  0.335  0.665  0.500
Ac  0.665  0.335  0.500
U  0.000  0.000  0.500
O  0.036  0.352  0.669
O  0.236  0.236  0.323
O  0.352  0.036  0.669
O  0.648  0.964  0.331
O  0.764  0.764  0.677
O  0.964  0.648  0.331


E_form (uncorrected) readings, ordered: -2.6390; -2.7166 eV/atom